Material: CsAgF2
Method: DFT, PBEsol
State: optimized geometry

Unit cell a=4.3976 b=4.3976 c=20.8046 alpha=90.00 beta=90.00 gamma=120.00
Space group R-3m (No. 166, hexagonal axes)
One atom of each set of equivalent atoms:
1 Cs 0.0000 0.0000 0.0000 (multiplicity 3)
2 Ag 0.0000 0.0000 0.5000 (multiplicity 3)
3 F 0.0000 0.0000 0.4034 (multiplicity 6)

Calculated values
calculated density	3.99	g cm⁻³
energy relative to the elements, uncorrected	-1765	meV per atom
crystal system	trigonal
M_tot	0.0	μB per cell
calculated volume	29.04	Å³ per atom
total DFT energy (no corrections)	-3.7925	eV/atom